Zn2PtW | PBE | relaxed

Values from the calculation:
DOS(E_F) = 4.12 states/eV/cell
ΔE_f = 0.69 eV/f.u.

Unit cell a=4.418 b=4.418 c=4.418 alpha=60.00 beta=60.00 gamma=60.00
Fractional coordinates of all 4 atoms:
1 Zn 0.000 0.000 0.000
2 Zn 0.250 0.250 0.250
3 Pt 0.750 0.750 0.750
4 W 0.500 0.500 0.500

---

KPrSn2Te4 | PBE | relaxed

Values from the calculation:
E_form (uncorrected) = -0.77 eV per atom

Unit cell a=8.018 b=4.587 c=8.072 alpha=90.00 beta=108.30 gamma=90.00
Fractional coordinates of all 8 atoms:
1 K 0.000 0.000 0.000
2 Pr 0.500 0.500 0.000
3 Sn 0.000 0.500 0.500
4 Sn 0.500 0.000 0.500
5 Te 0.263 0.000 0.745
6 Te 0.273 0.500 0.264
7 Te 0.727 0.500 0.736
8 Te 0.737 0.000 0.255

---

PuPaOsPt | PBE | relaxed

Values from the calculation:
DOS(E_F) = 11.14 states/eV/cell
ΔE_f = -2.18 eV/f.u.

Unit cell a=4.046 b=5.923 c=5.923 alpha=37.86 beta=90.00 gamma=90.00
Fractional coordinates of all 4 atoms:
1 Pu 0.000 0.000 0.000
2 Pa 0.500 0.279 0.279
3 Os 0.000 0.745 0.745
4 Pt 0.500 0.552 0.552

---

Number 1: spin magnetization 1.06 μB/f.u., energy -5.21 eV/atom. Number 2: spin magnetization 0.00 μB/f.u., energy -4.08 eV/atom. Number 3: spin magnetization 5.10 μB/f.u., energy -10.82 eV/atom.